# BaLa2RuPt | Alexandria via LeMat-Bulk | SCAN | PBEsol geometry
# M_tot	1.4	μB per formula unit
# formation energy from the elements	209	meV per atom
data_BaLa2RuPt
_chemical_formula_sum 'Ba1 La2 Ru1 Pt1'
_symmetry_space_group_name_H-M 'P 4/m m m'
_symmetry_Int_Tables_number 123
_symmetry_space_group_name_Hall '-P 4 2'
_cell_length_a 5.482
_cell_length_b 5.482
_cell_length_c 5.879
_cell_angle_alpha 90.00
_cell_angle_beta 90.00
_cell_angle_gamma 90.00
loop_
_atom_site_label
_atom_site_type_symbol
_atom_site_fract_x
_atom_site_fract_y
_atom_site_fract_z
_atom_site_occupancy
Ba1 Ba 0.000 0.000 0.000 1
La1 La 0.000 0.500 0.500 1
Ru1 Ru 0.500 0.500 0.000 1
Pt1 Pt 0.000 0.000 0.500 1

# RbBaLa3 | Alexandria via LeMat-Bulk | SCAN | PBEsol geometry
# M_tot	0.0	μB per formula unit
# formation energy from the elements	771	meV per atom
data_RbBaLa3
_chemical_formula_sum 'Rb1 Ba1 La3'
_symmetry_space_group_name_H-M 'P m -3 m'
_symmetry_Int_Tables_number 221
_symmetry_space_group_name_Hall '-P 4 2 3'
_cell_length_a 5.930
_cell_length_b 5.930
_cell_length_c 5.930
_cell_angle_alpha 90.00
_cell_angle_beta 90.00
_cell_angle_gamma 90.00
loop_
_atom_site_label
_atom_site_type_symbol
_atom_site_fract_x
_atom_site_fract_y
_atom_site_fract_z
_atom_site_occupancy
Rb1 Rb 0.000 0.000 0.000 1
Ba1 Ba 0.500 0.500 0.500 1
La1 La 0.000 0.000 0.500 1

# Rb2BaLaSc | Alexandria via LeMat-Bulk | SCAN | PBEsol geometry
# M_tot	3.3	μB per formula unit
# formation energy from the elements	1170	meV per atom
data_Rb2BaLaSc
_chemical_formula_sum 'Rb2 Ba1 La1 Sc1'
_symmetry_space_group_name_H-M 'P 4/m m m'
_symmetry_Int_Tables_number 123
_symmetry_space_group_name_Hall '-P 4 2'
_cell_length_a 6.448
_cell_length_b 6.448
_cell_length_c 6.129
_cell_angle_alpha 90.00
_cell_angle_beta 90.00
_cell_angle_gamma 90.00
loop_
_atom_site_label
_atom_site_type_symbol
_atom_site_fract_x
_atom_site_fract_y
_atom_site_fract_z
_atom_site_occupancy
Rb1 Rb 0.000 0.500 0.000 1
Ba1 Ba 0.000 0.000 0.000 1
La1 La 0.000 0.000 0.500 1
Sc1 Sc 0.500 0.500 0.500 1

no.,Fermi-level density of states (states/eV/f.u.),DFT total energy (eV/atom),mass density (g cm⁻³)
1,4.2,-45.9468,6.69
2,2.7,-37.1497,5.09
3,6.7,-26.5041,3.21